Computed, not measured: Sc2BeTeC after structural relaxation at the GGA-PBE level of DFT.

Results
Energy relative to the elements, uncorrected = -0.530 eV per atom
Size of the total moment = 0.6 μB per cell
Energy = -6.281 eV/atom

a b c (Å): 4.780 4.780 3.546
angles (deg): 90.00 90.00 90.00
Fractional positions:
Sc1 0.000 0.500 0.000
Sc2 0.500 0.000 0.000
C1 0.000 0.000 0.000
Be1 0.000 0.000 0.500
Te1 0.500 0.500 0.500


Computed, not measured: Sc2BeTlC after structural relaxation at the GGA-PBE level of DFT.

Results
E_form = -0.2875 eV per atom
Size of the total moment = 0.0 μB per cell
Energy = -5.883 eV/atom

a b c (Å): 4.761 4.761 3.574
angles (deg): 90.00 90.00 90.00
Fractional positions:
C1 0.000 0.000 0.000
Tl1 0.500 0.500 0.500
Be1 0.000 0.000 0.500
Sc1 0.000 0.500 0.000
Sc2 0.500 0.000 0.000


Computed, not measured: ScBeWC2 after structural relaxation at the GGA-PBE level of DFT.

Results
E_form = 2.8146 eV per atom
Size of the total moment = 0.0 μB per cell
Energy = -5.477 eV/atom

a b c (Å): 4.031 5.156 4.031
angles (deg): 90.00 90.00 90.00
Fractional positions:
Be1 0.500 0.500 0.500
C1 0.500 0.000 0.000
C2 0.000 0.000 0.500
Sc1 0.000 0.000 0.000
W1 0.000 0.500 0.000


Computed, not measured: BeC2Se after structural relaxation at the GGA-PBE level of DFT.

Results
Energy relative to the elements, uncorrected = 0.967 eV per atom
Size of the total moment = 0.0 μB per cell
Energy = -5.448 eV/atom

a b c (Å): 4.390 4.390 5.344
angles (deg): 65.75 65.75 90.00
Fractional positions:
C1 0.609 0.125 0.250
C2 0.875 0.859 0.750
C3 0.141 0.625 0.250
C4 0.375 0.391 0.750
Be1 0.250 0.750 0.500
Be2 0.500 0.500 0.000
Se1 0.000 0.000 0.000
Se2 0.750 0.250 0.500


Computed, not measured: Be2CSe after structural relaxation at the GGA-PBE level of DFT.

Results
Energy relative to the elements, uncorrected = 0.320 eV per atom
Size of the total moment = 0.0 μB per cell
Energy = -4.720 eV/atom

a b c (Å): 4.144 4.144 6.189
angles (deg): 70.44 70.44 90.00
Fractional positions:
Be1 0.875 0.763 0.750
Be2 0.375 0.487 0.750
Be3 0.513 0.125 0.250
Be4 0.237 0.625 0.250
C1 0.250 0.750 0.500
C2 0.500 0.500 0.000
Se1 0.000 0.000 0.000
Se2 0.750 0.250 0.500


Computed, not measured: Be2CSe after structural relaxation at the GGA-PBE level of DFT.

Results
Energy relative to the elements, uncorrected = 1.416 eV per atom
Size of the total moment = 0.0 μB per cell
Energy = -3.625 eV/atom

a b c (Å): 3.967 3.967 3.967
angles (deg): 60.00 60.00 60.00
Fractional positions:
Be1 0.750 0.750 0.750
Be2 0.250 0.250 0.250
Se1 0.500 0.500 0.500
C1 0.000 0.000 0.000


Computed, not measured: BeC2Se after structural relaxation at the GGA-PBE level of DFT.

Results
Energy relative to the elements, uncorrected = 2.408 eV per atom
Size of the total moment = 0.0 μB per cell
Energy = -4.006 eV/atom

a b c (Å): 3.839 3.839 3.839
angles (deg): 60.00 60.00 60.00
Fractional positions:
C1 0.750 0.750 0.750
C2 0.250 0.250 0.250
Se1 0.500 0.500 0.500
Be1 0.000 0.000 0.000


Computed, not measured: Tb2BeSiC after structural relaxation at the GGA-PBE level of DFT.

Results
Energy relative to the elements, uncorrected = -0.520 eV per atom
Size of the total moment = 0.0 μB per cell
Energy = -6.047 eV/atom

a b c (Å): 3.747 6.346 7.952
angles (deg): 107.77 90.00 90.00
Fractional positions:
C1 0.750 0.176 0.174
C2 0.250 0.824 0.826
Tb1 0.750 0.783 0.036
Tb2 0.250 0.201 0.390
Tb3 0.750 0.799 0.610
Tb4 0.250 0.217 0.964
Be1 0.750 0.455 0.247
Be2 0.250 0.545 0.753
Si1 0.750 0.333 0.702
Si2 0.250 0.667 0.298